VASP calculation (PBE) on MnGaIr3 after structural relaxation.

a = 4.5559 Å, b = 4.5559 Å, c = 4.5559 Å
α = 90.00°, β = 90.00°, γ = 90.00°
Closest atoms and distances in Å follow each position.
Sites, in units of the cell vectors:
Mn (0.0000, 0.0000, 0.0000)  6 Ir 2.28
Ga (0.5000, 0.5000, 0.5000)  12 Ir 3.22
Ir (0.0000, 0.0000, 0.5000)  2 Mn 2.28
Ir (0.0000, 0.5000, 0.0000)  2 Mn 2.28
Ir (0.5000, 0.0000, 0.0000)  2 Mn 2.28

Values from the calculation:
The value obtained for the energy relative to the elements is 1.230 eV/atom. The polymorph energy (0 for the lowest one) is 0 meV per atom. The total magnetization comes out at 0.000 Bohr magnetons per cell.

VASP calculation (PBE) on MnGaMoIr after structural relaxation.

a = 4.3164 Å, b = 4.3164 Å, c = 4.3164 Å
α = 60.00°, β = 60.00°, γ = 60.00°
Closest atoms and distances in Å follow each position.
Sites, in units of the cell vectors:
Mn (0.0000, 0.0000, 0.0000)  4 Ir 2.64, 4 Mo 2.64
Ga (0.5000, 0.5000, 0.5000)  4 Ir 2.64, 4 Mo 2.64
Mo (0.2500, 0.2500, 0.2500)  4 Mn 2.64, 4 Ga 2.64
Ir (0.7500, 0.7500, 0.7500)  4 Ga 2.64, 4 Mn 2.64

Values from the calculation:
The value obtained for the energy relative to the elements is -0.187 eV/atom. The total magnetization comes out at 2.184 Bohr magnetons per cell.

VASP calculation (PBE) on Nd2MnGa3Ir4 after structural relaxation.

a = 4.2090 Å, b = 4.2090 Å, c = 10.6143 Å
α = 90.00°, β = 90.00°, γ = 90.00°
Closest atoms and distances in Å follow each position.
Sites, in units of the cell vectors:
Nd (0.0000, 0.5000, 0.2413)  6 Ga 3.21-3.46, 8 Ir 3.24-3.32, 2 Mn 3.46
Nd (0.5000, 0.0000, 0.7587)  6 Ga 3.21-3.46, 8 Ir 3.24-3.32, 2 Mn 3.46
Mn (0.0000, 0.0000, 0.5000)  4 Ir 2.56
Ga (0.0000, 0.5000, 0.8729)  5 Ir 2.50
Ga (0.5000, 0.0000, 0.1271)  5 Ir 2.50
Ga (0.5000, 0.5000, 0.5000)  4 Ir 2.56
Ir (0.0000, 0.0000, 0.0000)  4 Ga 2.50
Ir (0.0000, 0.5000, 0.6378)  3 Ga 2.50-2.56, 2 Mn 2.56
Ir (0.5000, 0.0000, 0.3622)  3 Ga 2.50-2.56, 2 Mn 2.56
Ir (0.5000, 0.5000, 0.0000)  4 Ga 2.50

Values from the calculation:
The value obtained for the energy relative to the elements is -0.608 eV/atom. The total magnetization comes out at 3.990 Bohr magnetons per cell.

VASP calculation (PBE) on MnGaIr2Os after structural relaxation.

a = 4.4440 Å, b = 4.4440 Å, c = 4.2641 Å
α = 90.00°, β = 90.00°, γ = 90.00°
Closest atoms and distances in Å follow each position.
Sites, in units of the cell vectors:
Mn (0.0000, 0.0000, 0.0000)  2 Ga 2.13
Ga (0.0000, 0.0000, 0.5000)  2 Mn 2.13, 4 Ir 2.22
Ir (0.0000, 0.5000, 0.5000)  2 Ga 2.22
Ir (0.5000, 0.0000, 0.5000)  2 Ga 2.22
Os (0.5000, 0.5000, 0.0000)  8 Ir 3.08, 4 Mn 3.14

Values from the calculation:
The value obtained for the energy relative to the elements is 1.743 eV/atom. The total magnetization comes out at 1.232 Bohr magnetons per cell.

VASP calculation (PBE) on MnGa2IrPb after structural relaxation.

a = 4.5944 Å, b = 4.5944 Å, c = 5.0275 Å
α = 90.00°, β = 90.00°, γ = 90.00°
Closest atoms and distances in Å follow each position.
Sites, in units of the cell vectors:
Mn (0.0000, 0.0000, 0.0000)  4 Ga 2.30, 2 Pb 2.51
Ga (0.0000, 0.5000, 0.0000)  2 Mn 2.30
Ga (0.5000, 0.0000, 0.0000)  2 Mn 2.30
Ir (0.5000, 0.5000, 0.5000)  4 Pb 3.25, 8 Ga 3.41
Pb (0.0000, 0.0000, 0.5000)  2 Mn 2.51

Values from the calculation:
The value obtained for the energy relative to the elements is 0.846 eV/atom. The total magnetization comes out at 3.189 Bohr magnetons per cell.

VASP calculation (PBE) on Pm2MnGa4Ir3 after structural relaxation.

a = 4.1135 Å, b = 4.1135 Å, c = 11.0202 Å
α = 90.00°, β = 90.00°, γ = 90.00°
Closest atoms and distances in Å follow each position.
Sites, in units of the cell vectors:
Pm (0.0000, 0.5000, 0.2497)  6 Ir 3.17-3.44, 8 Ga 3.18-3.44, 2 Mn 3.44
Pm (0.5000, 0.0000, 0.7503)  6 Ir 3.17-3.44, 8 Ga 3.18-3.44, 2 Mn 3.44
Mn (0.0000, 0.0000, 0.5000)  4 Ga 2.54
Ga (0.0000, 0.0000, 0.0000)  4 Ir 2.55
Ga (0.0000, 0.5000, 0.6345)  3 Ir 2.52-2.54, 2 Mn 2.54
Ga (0.5000, 0.0000, 0.3655)  3 Ir 2.52-2.54, 2 Mn 2.54
Ga (0.5000, 0.5000, 0.0000)  4 Ir 2.55
Ir (0.0000, 0.5000, 0.8635)  5 Ga 2.52-2.55
Ir (0.5000, 0.0000, 0.1365)  5 Ga 2.52-2.55
Ir (0.5000, 0.5000, 0.5000)  4 Ga 2.54

Values from the calculation:
The value obtained for the energy relative to the elements is -0.606 eV/atom. The total magnetization comes out at 2.689 Bohr magnetons per cell.

VASP calculation (PBE) on Pr2MnGa4Ir3 after structural relaxation.

a = 4.1700 Å, b = 4.1700 Å, c = 10.9225 Å
α = 90.00°, β = 90.00°, γ = 90.00°
Closest atoms and distances in Å follow each position.
Sites, in units of the cell vectors:
Pr (0.0000, 0.5000, 0.2495)  6 Ir 3.21-3.44, 8 Ga 3.22-3.43, 2 Mn 3.44
Pr (0.5000, 0.0000, 0.7505)  6 Ir 3.21-3.44, 8 Ga 3.22-3.43, 2 Mn 3.44
Mn (0.0000, 0.0000, 0.5000)  4 Ga 2.54
Ga (0.0000, 0.0000, 0.0000)  4 Ir 2.55
Ga (0.0000, 0.5000, 0.6332)  3 Ir 2.54, 2 Mn 2.54
Ga (0.5000, 0.0000, 0.3668)  3 Ir 2.54, 2 Mn 2.54
Ga (0.5000, 0.5000, 0.0000)  4 Ir 2.55
Ir (0.0000, 0.5000, 0.8659)  5 Ga 2.54-2.55
Ir (0.5000, 0.0000, 0.1341)  5 Ga 2.54-2.55
Ir (0.5000, 0.5000, 0.5000)  4 Ga 2.54

Values from the calculation:
The value obtained for the energy relative to the elements is -0.590 eV/atom. The total magnetization comes out at 2.559 Bohr magnetons per cell.

VASP calculation (PBE) on MnGaIr2Pt after structural relaxation.

a = 4.4928 Å, b = 4.4928 Å, c = 4.3011 Å
α = 90.00°, β = 90.00°, γ = 90.00°
Closest atoms and distances in Å follow each position.
Sites, in units of the cell vectors:
Mn (0.0000, 0.0000, 0.0000)  2 Ga 2.15
Ga (0.0000, 0.0000, 0.5000)  2 Mn 2.15, 4 Ir 2.25
Ir (0.0000, 0.5000, 0.5000)  2 Ga 2.25
Ir (0.5000, 0.0000, 0.5000)  2 Ga 2.25
Pt (0.5000, 0.5000, 0.0000)  8 Ir 3.11, 4 Mn 3.18

Values from the calculation:
The value obtained for the energy relative to the elements is 1.416 eV/atom. The total magnetization comes out at 0.005 Bohr magnetons per cell.

> Among the records above, which one has the lowest energy relative to the elements?

Nd2MnGa3Ir4

Repeat the sixth record exactly.
VASP calculation (PBE) on Pm2MnGa4Ir3 after structural relaxation.

a = 4.1135 Å, b = 4.1135 Å, c = 11.0202 Å
α = 90.00°, β = 90.00°, γ = 90.00°
Closest atoms and distances in Å follow each position.
Sites, in units of the cell vectors:
Pm (0.0000, 0.5000, 0.2497)  6 Ir 3.17-3.44, 8 Ga 3.18-3.44, 2 Mn 3.44
Pm (0.5000, 0.0000, 0.7503)  6 Ir 3.17-3.44, 8 Ga 3.18-3.44, 2 Mn 3.44
Mn (0.0000, 0.0000, 0.5000)  4 Ga 2.54
Ga (0.0000, 0.0000, 0.0000)  4 Ir 2.55
Ga (0.0000, 0.5000, 0.6345)  3 Ir 2.52-2.54, 2 Mn 2.54
Ga (0.5000, 0.0000, 0.3655)  3 Ir 2.52-2.54, 2 Mn 2.54
Ga (0.5000, 0.5000, 0.0000)  4 Ir 2.55
Ir (0.0000, 0.5000, 0.8635)  5 Ga 2.52-2.55
Ir (0.5000, 0.0000, 0.1365)  5 Ga 2.52-2.55
Ir (0.5000, 0.5000, 0.5000)  4 Ga 2.54

Values from the calculation:
The value obtained for the energy relative to the elements is -0.606 eV/atom. The total magnetization comes out at 2.689 Bohr magnetons per cell.

> Look up the energy relative to the elements of the eighth one.

1.416 eV/atom

> energy relative to the elements of number 1 (MnGaIr3)?

1.230 eV/atom